[1]
The following is a DFT calculation (PBE-GGA) of a geometry-optimized DyTm2S structure.

The structure in CIF format:
```
data_DyTm2S
_symmetry_space_group_name_H-M 'R -3 m'
_symmetry_Int_Tables_number 166
_symmetry_space_group_name_Hall '-R 3 2"'
_cell_length_a 3.5902
_cell_length_b 3.5902
_cell_length_c 29.9251
_cell_angle_alpha 90.00
_cell_angle_beta 90.00
_cell_angle_gamma 120.00
loop_
_atom_site_label
_atom_site_type_symbol
_atom_site_fract_x
_atom_site_fract_y
_atom_site_fract_z
Dy1 Dy 0.0000 0.0000 0.0000
Tm1 Tm 0.0000 0.0000 0.1118
S1 S 0.0000 0.0000 0.5000
```

raw formation energy = -697 meV per atom
density of states at the Fermi level = 12.72 states/eV per cell
mass density = 7.9 Mg/m³

=====

[2]
The following is a DFT calculation (PBE-GGA) of a geometry-optimized DyTm5S6 structure.

The structure in CIF format:
```
data_DyTm5S6
_symmetry_space_group_name_H-M 'C 1 2/m 1'
_symmetry_Int_Tables_number 12
_cell_length_a 6.6701
_cell_length_b 11.5829
_cell_length_c 6.6592
_cell_angle_alpha 90.00
_cell_angle_beta 109.66
_cell_angle_gamma 90.00
loop_
_symmetry_equiv_pos_as_xyz
'x,y,z'
'-x,-y,-z'
'-x,y,-z'
'x,-y,z'
'x+1/2,y+1/2,z'
'-x+1/2,-y+1/2,-z'
'-x+1/2,y+1/2,-z'
'x+1/2,-y+1/2,z'
loop_
_atom_site_label
_atom_site_type_symbol
_atom_site_fract_x
_atom_site_fract_y
_atom_site_fract_z
Dy1 Dy 0.0000 0.0000 0.0000
Tm1 Tm 0.0000 0.1645 0.5000
Tm2 Tm 0.0000 0.3339 0.0000
Tm3 Tm 0.0000 0.5000 0.5000
S1 S 0.2474 0.3313 0.7476
S2 S 0.2467 0.5000 0.2510
```

raw formation energy = -1942 meV per atom
density of states at the Fermi level = 8.19 states/eV per cell
mass density = 8.2 Mg/m³

=====

[3]
The following is a DFT calculation (PBE-GGA) of a geometry-optimized DyTm4S6 structure.

The structure in CIF format:
```
data_DyTm4S6
_symmetry_space_group_name_H-M 'C m c m'
_symmetry_Int_Tables_number 63
_symmetry_space_group_name_Hall '-C 2c 2'
_cell_length_a 3.7823
_cell_length_b 12.6598
_cell_length_c 19.5829
_cell_angle_alpha 90.00
_cell_angle_beta 90.00
_cell_angle_gamma 90.00
loop_
_atom_site_label
_atom_site_type_symbol
_atom_site_fract_x
_atom_site_fract_y
_atom_site_fract_z
Dy1 Dy 0.0000 0.1517 0.2500
Tm1 Tm 0.0000 0.0914 0.6271
Tm2 Tm 0.0000 0.3614 0.5395
S1 S 0.0000 0.0000 0.0000
S2 S 0.0000 0.1905 0.7500
S3 S 0.0000 0.2693 0.0885
S4 S 0.0000 0.4502 0.6662
```

raw formation energy = -2012 meV per atom
density of states at the Fermi level = 10.42 states/eV per cell
mass density = 7.3 Mg/m³